# 1
Compound: CaAg2Hg
Source: Alexandria via LeMat-Bulk
Functional: PBE
Structure: relaxed

Properties
E (eV per atom): -2.259

Lattice parameters (Å, degrees): 4.6522 7.4944 5.8690 90.00 113.15 90.00
Space group P2_1/m (No. 11)
Symmetry-distinct sites (fractional):
Ca  0.0775  0.2500  0.1526 x2
Ag  0.3793  0.0603  0.7564 x4
Hg  0.2174  0.7500  0.4391 x2

# 2
Compound: Ca3Ag2Hg3
Source: Alexandria via LeMat-Bulk
Functional: PBE
Structure: relaxed

Properties
E (eV per atom): -1.976
E above lowest polymorph (eV per atom): 0.000

Lattice parameters (Å, degrees): 4.6933 11.2816 15.9155 90.00 90.00 90.00
Space group Cmcm (No. 63)
Symmetry-distinct sites (fractional):
Ca  0.0000  0.0779  0.1062 x8
Ca  0.0000  0.3483  0.2500 x4
Ag  0.0000  0.2180  0.6080 x8
Hg  0.0000  0.3742  0.7500 x4
Hg  0.0000  0.3830  0.0428 x8

# 3
Compound: Ca4AgHg7
Source: Alexandria via LeMat-Bulk
Functional: PBE
Structure: relaxed

Properties
E (eV per atom): -1.474

Lattice parameters (Å, degrees): 5.5590 7.6934 8.4310 116.96 103.45 90.68
Space group P-1 (No. 2)
Symmetry-distinct sites (fractional):
Ca  0.1569  0.1826  0.2412 x2
Ca  0.3422  0.4398  0.7576 x2
Ag  0.5000  0.0000  0.5000 x1
Hg  0.0000  0.0000  0.5000 x1
Hg  0.1168  0.7093  0.1036 x2
Hg  0.2552  0.6445  0.5006 x2
Hg  0.3909  0.1068  0.8979 x2